Entry 1:
# TbY2Tm2 PBE optimized geometry
data_TbY2Tm2
_chemical_formula_sum 'Tb4 Y8 Tm8'
_symmetry_space_group_name_H-M 'P 1 21/c 1'
_symmetry_Int_Tables_number 14
_cell_length_a 14.571
_cell_length_b 7.074
_cell_length_c 6.120
_cell_angle_alpha 90.00
_cell_angle_beta 97.98
_cell_angle_gamma 90.00
loop_
_symmetry_equiv_pos_as_xyz
'x,y,z'
'-x,-y,-z'
'-x,y+1/2,-z+1/2'
'x,-y+1/2,z+1/2'
loop_
_atom_site_label
_atom_site_fract_x
_atom_site_fract_y
_atom_site_fract_z
_atom_site_occupancy
Tb1 0.199 0.125 0.149 1
Y1 0.199 0.625 0.150 1
Y2 0.400 0.125 0.550 1
Tm1 0.000 0.125 0.751 1
Tm2 0.400 0.625 0.550 1
# **Total magnetic moment**: 0.000 μB/cell
# **Crystal system**: monoclinic
# **E_form**: 0.02 eV per atom
# **D(E_F)**: 1.3523 states/eV per atom
# **Energy above the most stable polymorph in this dataset**: 0 meV/atom



Entry 2:
# Tb7YTm12 PBE optimized geometry
data_Tb7YTm12
_chemical_formula_sum 'Tb21 Y3 Tm36'
_symmetry_space_group_name_H-M 'R -3'
_symmetry_Int_Tables_number 148
_symmetry_space_group_name_Hall '-R 3'
_cell_length_a 11.8201
_cell_length_b 11.8201
_cell_length_c 15.9519
_cell_angle_alpha 90.00
_cell_angle_beta 90.00
_cell_angle_gamma 120.00
loop_
_atom_site_label
_atom_site_fract_x
_atom_site_fract_y
_atom_site_fract_z
_atom_site_occupancy
Tb1 0.0000 0.0000 0.0000 1
Tb2 0.0533 0.8632 0.2921 1
Y1 0.0000 0.0000 0.5000 1
Tm1 0.0206 0.5718 0.2206 1
Tm2 0.0498 0.4633 0.5832 1
# **Total magnetic moment**: 0.001 μB/cell
# **Crystal system**: trigonal
# **E_form**: 0.24 eV per atom
# **D(E_F)**: 1.7128 states/eV per atom
# **Energy above the most stable polymorph in this dataset**: 0 meV/atom



Entry 3:
# Tb2Y9Tm PBE optimized geometry
data_Tb2Y9Tm
_chemical_formula_sum 'Tb2 Y9 Tm1'
_symmetry_space_group_name_H-M 'P 4/m m m'
_symmetry_Int_Tables_number 123
_symmetry_space_group_name_Hall '-P 4 2'
_cell_length_a 5.039
_cell_length_b 5.039
_cell_length_c 15.123
_cell_angle_alpha 90.00
_cell_angle_beta 90.00
_cell_angle_gamma 90.00
loop_
_atom_site_label
_atom_site_fract_x
_atom_site_fract_y
_atom_site_fract_z
_atom_site_occupancy
Tb1 0.000 0.000 0.167 1
Y1 0.000 0.500 0.000 1
Y2 0.000 0.500 0.334 1
Y3 0.500 0.500 0.167 1
Y4 0.500 0.500 0.500 1
Tm1 0.000 0.000 0.500 1
# **Total magnetic moment**: 0.000 μB/cell
# **Crystal system**: tetragonal
# **E_form**: 0.03 eV per atom
# **D(E_F)**: 1.5220 states/eV per atom



Entry 4:
# Tb7YTm4 PBE optimized geometry
data_Tb7YTm4
_chemical_formula_sum 'Tb7 Y1 Tm4'
_symmetry_space_group_name_H-M 'P -3 m 1'
_symmetry_Int_Tables_number 164
_symmetry_space_group_name_Hall '-P 3 2"'
_cell_length_a 5.5829
_cell_length_b 5.5829
_cell_length_c 13.8989
_cell_angle_alpha 90.00
_cell_angle_beta 90.00
_cell_angle_gamma 120.00
loop_
_atom_site_label
_atom_site_fract_x
_atom_site_fract_y
_atom_site_fract_z
_atom_site_occupancy
Tb1 0.0000 0.0000 0.0000 1
Tb2 0.0000 0.0000 0.2489 1
Tb3 0.3333 0.6667 0.1244 1
Tb4 0.3333 0.6667 0.6246 1
Y1 0.0000 0.0000 0.5000 1
Tm1 0.3333 0.6667 0.3744 1
Tm2 0.3333 0.6667 0.8749 1
# **Total magnetic moment**: 0.000 μB/cell
# **Crystal system**: trigonal
# **E_form**: 0.07 eV per atom
# **D(E_F)**: 1.7743 states/eV per atom
# **Energy above the most stable polymorph in this dataset**: 72 meV/atom